This record from Alexandria via LeMat-Bulk describes a geometry-optimized LaWBr3 structure. The functional is PBE.

Output
- spin magnetization (μB/f.u.) = 1.63
- energy above the lowest structure with this stoichiometry (meV per atom) = 96
- space group = No. 221
- E_form (uncorrected) (eV per atom) = 0.1613
- density of states at the Fermi level (states/eV/cell) = 6.527

a = 5.1322 Å, b = 5.1322 Å, c = 5.1322 Å
α = 90.00°, β = 90.00°, γ = 90.00°
Sites, in units of the cell vectors:
1 La 0.0000 0.0000 0.0000
2 W 0.5000 0.5000 0.5000
3 Br 0.0000 0.5000 0.5000
4 Br 0.5000 0.0000 0.5000
5 Br 0.5000 0.5000 0.0000